PBE-GGA PuAl2In, relaxed; calculated formation energy = 0.015 eV per atom; total magnetization = 5.687 μB/f.u.; electronic total energy = -6.1240 eV/atom
1.0
-0.8539 2.1901 1.8980
0.2556 -1.9140 2.3236
9.0396 2.5592 1.1138
Pu Al In
1 2 1
direct
0.5000 0.5000 0.5000 Pu
0.0000 0.0000 0.7467 Al
0.0000 0.0000 0.2533 Al
0.5000 0.5000 0.0000 In